Here is a PBEsol-optimized structure of LiIn2Au from Alexandria via LeMat-Bulk. Energies are from meta-GGA SCAN.

Cell lengths 3.235, 3.235, 9.280 Å; angles 79.96, 79.96, 60.00 degrees
Positions (direct):
Au 0.000 0.000 0.000
In 0.252 0.252 0.244
In 0.748 0.748 0.756
Li 0.500 0.500 0.500

ΔE_f (meV per atom): -199
DOS(E_F) (states/eV/f.u.): 1.45
DFT total energy (eV per formula unit): -139.12
Symmetry: R-3m, No. 166